PtPb2Au: optimized geometry, PBE.

Geometry as CIF:
```
data_PtPb2Au
_symmetry_space_group_name_H-M 'P 1'
_symmetry_Int_Tables_number 1
_symmetry_space_group_name_Hall 'P 1'
_cell_length_a 5.062
_cell_length_b 5.062
_cell_length_c 5.062
_cell_angle_alpha 60.00
_cell_angle_beta 60.00
_cell_angle_gamma 60.00
loop_
_atom_site_label
_atom_site_type_symbol
_atom_site_fract_x
_atom_site_fract_y
_atom_site_fract_z
_atom_site_occupancy
Pt1 Pt 0.000 0.000 0.000 1
Pb1 Pb 0.250 0.250 0.250 1
Pb2 Pb 0.750 0.750 0.750 1
Au1 Au 0.500 0.500 0.500 1
```

Properties
**Final energy**: -4.194 eV per atom
**Total magnetic moment**: 0.00 μB/f.u.
**V**: 22.92 A^3/atom
**Relative energy among the computed polymorphs**: 0.113 eV per atom
**Mass density**: 14.60 g/cm³
**Formation energy from the elements**: -10 meV per atom

---

Pt2PbAu2: optimized geometry, PBE.

Geometry as CIF:
```
data_Pt2PbAu2
_symmetry_space_group_name_H-M 'P 1'
_symmetry_Int_Tables_number 1
_symmetry_space_group_name_Hall 'P 1'
_cell_length_a 7.234
_cell_length_b 7.234
_cell_length_c 3.732
_cell_angle_alpha 90.00
_cell_angle_beta 90.00
_cell_angle_gamma 90.00
loop_
_atom_site_label
_atom_site_type_symbol
_atom_site_fract_x
_atom_site_fract_y
_atom_site_fract_z
_atom_site_occupancy
Pt1 Pt 0.135 0.365 0.000 1
Pt2 Pt 0.365 0.865 0.000 1
Pt3 Pt 0.635 0.135 0.000 1
Pt4 Pt 0.865 0.635 0.000 1
Pb1 Pb 0.000 0.000 0.000 1
Pb2 Pb 0.500 0.500 0.000 1
Au1 Au 0.161 0.661 0.500 1
Au2 Au 0.339 0.161 0.500 1
Au3 Au 0.661 0.839 0.500 1
Au4 Au 0.839 0.339 0.500 1
```

Properties
**Final energy**: -4.456 eV per atom
**Total magnetic moment**: 0.00 μB/f.u.
**V**: 19.53 A^3/atom
**Relative energy among the computed polymorphs**: 0.000 eV per atom
**Mass density**: 16.86 g/cm³
**Formation energy from the elements**: 13 meV per atom

---

Pt2Pb2Au: optimized geometry, PBE.

Geometry as CIF:
```
data_Pt2Pb2Au
_symmetry_space_group_name_H-M 'P 1'
_symmetry_Int_Tables_number 1
_symmetry_space_group_name_Hall 'P 1'
_cell_length_a 6.593
_cell_length_b 6.593
_cell_length_c 6.593
_cell_angle_alpha 138.97
_cell_angle_beta 138.97
_cell_angle_gamma 59.42
loop_
_atom_site_label
_atom_site_type_symbol
_atom_site_fract_x
_atom_site_fract_y
_atom_site_fract_z
_atom_site_occupancy
Pt1 Pt 0.112 0.112 0.000 1
Pt2 Pt 0.888 0.888 0.000 1
Pb1 Pb 0.250 0.750 0.500 1
Pb2 Pb 0.750 0.250 0.500 1
Au1 Au 0.500 0.500 0.000 1
```

Properties
**Final energy**: -4.309 eV per atom
**Total magnetic moment**: 0.00 μB/f.u.
**V**: 24.46 A^3/atom
**Relative energy among the computed polymorphs**: 0.325 eV per atom
**Mass density**: 13.60 g/cm³
**Formation energy from the elements**: 247 meV per atom

---

Pt2PbAu: optimized geometry, PBE.

Geometry as CIF:
```
data_Pt2PbAu
_symmetry_space_group_name_H-M 'P 1'
_symmetry_Int_Tables_number 1
_symmetry_space_group_name_Hall 'P 1'
_cell_length_a 3.366
_cell_length_b 3.366
_cell_length_c 6.816
_cell_angle_alpha 90.00
_cell_angle_beta 90.00
_cell_angle_gamma 90.00
loop_
_atom_site_label
_atom_site_type_symbol
_atom_site_fract_x
_atom_site_fract_y
_atom_site_fract_z
_atom_site_occupancy
Pt1 Pt 0.000 0.000 0.000 1
Pt2 Pt 0.500 0.500 0.214 1
Pb1 Pb 0.500 0.500 0.743 1
Au1 Au 0.000 0.000 0.435 1
```

Properties
**Final energy**: -4.681 eV per atom
**Total magnetic moment**: 0.00 μB/f.u.
**V**: 19.31 A^3/atom
**Mass density**: 17.08 g/cm³
**Formation energy from the elements**: 86 meV per atom

---

PtPb2Au: optimized geometry, PBE.

Geometry as CIF:
```
data_PtPb2Au
_symmetry_space_group_name_H-M 'P 1'
_symmetry_Int_Tables_number 1
_symmetry_space_group_name_Hall 'P 1'
_cell_length_a 5.043
_cell_length_b 5.043
_cell_length_c 5.043
_cell_angle_alpha 60.00
_cell_angle_beta 60.00
_cell_angle_gamma 60.00
loop_
_atom_site_label
_atom_site_type_symbol
_atom_site_fract_x
_atom_site_fract_y
_atom_site_fract_z
_atom_site_occupancy
Pt1 Pt 0.000 0.000 0.000 1
Pb1 Pb 0.500 0.500 0.500 1
Pb2 Pb 0.750 0.750 0.750 1
Au1 Au 0.250 0.250 0.250 1
```

Properties
**Final energy**: -4.005 eV per atom
**Total magnetic moment**: 0.00 μB/f.u.
**V**: 22.67 A^3/atom
**Relative energy among the computed polymorphs**: 0.302 eV per atom
**Mass density**: 14.77 g/cm³
**Formation energy from the elements**: 179 meV per atom

---

Pt2PbAu: optimized geometry, PBE.

Geometry as CIF:
```
data_Pt2PbAu
_symmetry_space_group_name_H-M 'P 1'
_symmetry_Int_Tables_number 1
_symmetry_space_group_name_Hall 'P 1'
_cell_length_a 9.768
_cell_length_b 9.768
_cell_length_c 9.768
_cell_angle_alpha 17.93
_cell_angle_beta 17.93
_cell_angle_gamma 17.93
loop_
_atom_site_label
_atom_site_type_symbol
_atom_site_fract_x
_atom_site_fract_y
_atom_site_fract_z
_atom_site_occupancy
Pt1 Pt 0.000 0.000 0.000 1
Pt2 Pt 0.258 0.258 0.258 1
Pb1 Pb 0.750 0.750 0.750 1
Au1 Au 0.514 0.514 0.514 1
```

Properties
**Final energy**: -4.551 eV per atom
**Total magnetic moment**: 0.00 μB/f.u.
**V**: 19.27 A^3/atom
**Mass density**: 17.11 g/cm³
**Formation energy from the elements**: 216 meV per atom

---

PtPb3Au2: optimized geometry, PBE.

Geometry as CIF:
```
data_PtPb3Au2
_symmetry_space_group_name_H-M 'P 1'
_symmetry_Int_Tables_number 1
_symmetry_space_group_name_Hall 'P 1'
_cell_length_a 12.395
_cell_length_b 4.037
_cell_length_c 11.877
_cell_angle_alpha 90.00
_cell_angle_beta 90.00
_cell_angle_gamma 90.00
loop_
_atom_site_label
_atom_site_type_symbol
_atom_site_fract_x
_atom_site_fract_y
_atom_site_fract_z
_atom_site_occupancy
Pt1 Pt 0.135 0.250 0.145 1
Pt2 Pt 0.365 0.750 0.645 1
Pt3 Pt 0.635 0.250 0.355 1
Pt4 Pt 0.865 0.750 0.855 1
Pb1 Pb 0.049 0.250 0.380 1
Pb2 Pb 0.127 0.750 0.962 1
Pb3 Pb 0.231 0.250 0.725 1
Pb4 Pb 0.269 0.750 0.225 1
Pb5 Pb 0.373 0.250 0.462 1
Pb6 Pb 0.451 0.750 0.880 1
Pb7 Pb 0.549 0.250 0.120 1
Pb8 Pb 0.627 0.750 0.538 1
Pb9 Pb 0.731 0.250 0.775 1
Pb10 Pb 0.769 0.750 0.275 1
Pb11 Pb 0.873 0.250 0.038 1
Pb12 Pb 0.951 0.750 0.620 1
Au1 Au 0.015 0.250 0.808 1
Au2 Au 0.176 0.750 0.509 1
Au3 Au 0.324 0.250 0.009 1
Au4 Au 0.485 0.750 0.308 1
Au5 Au 0.515 0.250 0.692 1
Au6 Au 0.676 0.750 0.991 1
Au7 Au 0.824 0.250 0.491 1
Au8 Au 0.985 0.750 0.192 1
```

Properties
**Final energy**: -4.050 eV per atom
**Total magnetic moment**: 0.00 μB/f.u.
**V**: 24.76 A^3/atom
**Mass density**: 13.53 g/cm³
**Formation energy from the elements**: -96 meV per atom

---

Pt3Pb8Au2: optimized geometry, PBE.

Geometry as CIF:
```
data_Pt3Pb8Au2
_symmetry_space_group_name_H-M 'P 1'
_symmetry_Int_Tables_number 1
_symmetry_space_group_name_Hall 'P 1'
_cell_length_a 8.654
_cell_length_b 8.654
_cell_length_c 4.904
_cell_angle_alpha 90.00
_cell_angle_beta 90.00
_cell_angle_gamma 109.50
loop_
_atom_site_label
_atom_site_type_symbol
_atom_site_fract_x
_atom_site_fract_y
_atom_site_fract_z
_atom_site_occupancy
Pt1 Pt 0.000 0.000 0.000 1
Pt2 Pt 0.262 0.262 0.500 1
Pt3 Pt 0.738 0.738 0.500 1
Pb1 Pb 0.118 0.882 0.500 1
Pb2 Pb 0.127 0.366 0.000 1
Pb3 Pb 0.366 0.127 0.000 1
Pb4 Pb 0.381 0.619 0.500 1
Pb5 Pb 0.619 0.381 0.500 1
Pb6 Pb 0.634 0.873 0.000 1
Pb7 Pb 0.873 0.634 0.000 1
Pb8 Pb 0.882 0.118 0.500 1
Au1 Au 0.256 0.744 0.000 1
Au2 Au 0.744 0.256 0.000 1
```

Properties
**Final energy**: -4.275 eV per atom
**Total magnetic moment**: 0.00 μB/f.u.
**V**: 26.63 A^3/atom
**Mass density**: 12.65 g/cm³
**Formation energy from the elements**: -95 meV per atom

---

PtPbAu4: optimized geometry, PBE.

Geometry as CIF:
```
data_PtPbAu4
_symmetry_space_group_name_H-M 'P 1'
_symmetry_Int_Tables_number 1
_symmetry_space_group_name_Hall 'P 1'
_cell_length_a 5.555
_cell_length_b 5.555
_cell_length_c 5.555
_cell_angle_alpha 60.00
_cell_angle_beta 60.00
_cell_angle_gamma 60.00
loop_
_atom_site_label
_atom_site_type_symbol
_atom_site_fract_x
_atom_site_fract_y
_atom_site_fract_z
_atom_site_occupancy
Pt1 Pt 0.000 0.000 0.000 1
Pb1 Pb 0.250 0.250 0.250 1
Au1 Au 0.124 0.625 0.625 1
Au2 Au 0.625 0.124 0.625 1
Au3 Au 0.625 0.625 0.124 1
Au4 Au 0.625 0.625 0.625 1
```

Properties
**Final energy**: -3.672 eV per atom
**Total magnetic moment**: 0.00 μB/f.u.
**V**: 20.21 A^3/atom
**Mass density**: 16.30 g/cm³
**Formation energy from the elements**: 138 meV per atom

---

Pt2PbAu2: optimized geometry, PBE.

Geometry as CIF:
```
data_Pt2PbAu2
_symmetry_space_group_name_H-M 'P 1'
_symmetry_Int_Tables_number 1
_symmetry_space_group_name_Hall 'P 1'
_cell_length_a 7.300
_cell_length_b 7.300
_cell_length_c 7.300
_cell_angle_alpha 149.01
_cell_angle_beta 149.01
_cell_angle_gamma 44.40
loop_
_atom_site_label
_atom_site_type_symbol
_atom_site_fract_x
_atom_site_fract_y
_atom_site_fract_z
_atom_site_occupancy
Pt1 Pt 0.250 0.750 0.500 1
Pt2 Pt 0.750 0.250 0.500 1
Pb1 Pb 0.000 0.000 0.000 1
Au1 Au 0.398 0.398 0.000 1
Au2 Au 0.602 0.602 0.000 1
```

Properties
**Final energy**: -4.379 eV per atom
**Total magnetic moment**: 0.00 μB/f.u.
**V**: 20.57 A^3/atom
**Relative energy among the computed polymorphs**: 0.077 eV per atom
**Mass density**: 16.01 g/cm³
**Formation energy from the elements**: 90 meV per atom

---

PtPb6Au2: optimized geometry, PBE.

Geometry as CIF:
```
data_PtPb6Au2
_symmetry_space_group_name_H-M 'P 1'
_symmetry_Int_Tables_number 1
_symmetry_space_group_name_Hall 'P 1'
_cell_length_a 6.824
_cell_length_b 7.362
_cell_length_c 11.888
_cell_angle_alpha 90.00
_cell_angle_beta 124.21
_cell_angle_gamma 90.00
loop_
_atom_site_label
_atom_site_type_symbol
_atom_site_fract_x
_atom_site_fract_y
_atom_site_fract_z
_atom_site_occupancy
Pt1 Pt 0.000 0.000 0.000 1
Pt2 Pt 0.000 0.500 0.500 1
Pb1 Pb 0.136 0.000 0.270 1
Pb2 Pb 0.136 0.500 0.770 1
Pb3 Pb 0.235 0.164 0.568 1
Pb4 Pb 0.235 0.336 0.068 1
Pb5 Pb 0.412 0.685 0.564 1
Pb6 Pb 0.412 0.815 0.064 1
Pb7 Pb 0.588 0.185 0.936 1
Pb8 Pb 0.588 0.315 0.436 1
Pb9 Pb 0.765 0.664 0.932 1
Pb10 Pb 0.765 0.836 0.432 1
Pb11 Pb 0.864 0.000 0.730 1
Pb12 Pb 0.864 0.500 0.230 1
Au1 Au 0.303 0.630 0.263 1
Au2 Au 0.303 0.870 0.763 1
Au3 Au 0.697 0.130 0.237 1
Au4 Au 0.697 0.370 0.737 1
```

Properties
**Final energy**: -3.946 eV per atom
**Total magnetic moment**: 0.00 μB/f.u.
**V**: 27.44 A^3/atom
**Relative energy among the computed polymorphs**: 0.011 eV per atom
**Mass density**: 12.32 g/cm³
**Formation energy from the elements**: -74 meV per atom

---

Pt2Pb4Au3: optimized geometry, PBE.

Geometry as CIF:
```
data_Pt2Pb4Au3
_symmetry_space_group_name_H-M 'P 1'
_symmetry_Int_Tables_number 1
_symmetry_space_group_name_Hall 'P 1'
_cell_length_a 8.193
_cell_length_b 8.193
_cell_length_c 6.840
_cell_angle_alpha 108.67
_cell_angle_beta 108.67
_cell_angle_gamma 29.38
loop_
_atom_site_label
_atom_site_type_symbol
_atom_site_fract_x
_atom_site_fract_y
_atom_site_fract_z
_atom_site_occupancy
Pt1 Pt 0.116 0.116 0.462 1
Pt2 Pt 0.884 0.884 0.538 1
Pb1 Pb 0.079 0.079 0.853 1
Pb2 Pb 0.266 0.266 0.305 1
Pb3 Pb 0.734 0.734 0.695 1
Pb4 Pb 0.921 0.921 0.147 1
Au1 Au 0.411 0.411 0.832 1
Au2 Au 0.500 0.500 0.500 1
Au3 Au 0.589 0.589 0.168 1
```

Properties
**Final energy**: -4.173 eV per atom
**Total magnetic moment**: 0.00 μB/f.u.
**V**: 23.61 A^3/atom
**Mass density**: 14.14 g/cm³
**Formation energy from the elements**: -90 meV per atom